An optimized crystal structure of La2SmDyS4, computed with PBE-GGA.

Cell: 4.018 7.010 7.090 Å, 109.05 90.00 90.00°
Sites, in units of the cell vectors:
S 0.500 0.239 0.232
S 0.500 0.761 0.768
S 0.000 0.250 0.764
S 0.000 0.750 0.236
Sm 0.500 0.500 0.000
Dy 0.000 0.000 0.000
La 0.000 0.500 0.500
La 0.500 0.000 0.500

Values from the calculation:
Raw total energy = -52.41 eV for the cell shown
Raw formation energy = -16.72 eV/f.u.
Volume = 189 Å³ per cell

An optimized crystal structure of Ge3OsBr, computed with PBE-GGA.

Cell: 5.002 5.002 5.002 Å, 90.00 90.00 90.00°
Sites, in units of the cell vectors:
Os 0.500 0.500 0.500
Br 0.000 0.000 0.000
Ge 0.000 0.500 0.000
Ge 0.500 0.000 0.000
Ge 0.000 0.000 0.500

Values from the calculation:
Energy above the lowest structure with this stoichiometry = 863 kJ/mol of formula units
Raw total energy = -17.47 eV for the cell shown
Raw formation energy = 9.29 eV/f.u.
Volume = 125 Å³ per cell

An optimized crystal structure of KMnSbI6, computed with PBE-GGA.

Cell: 7.712 7.712 7.857 Å, 90.00 90.00 60.00°
Sites, in units of the cell vectors:
K 0.000 0.000 0.000
I 0.986 0.376 0.282
I 0.376 0.638 0.282
I 0.638 0.986 0.282
I 0.376 0.986 0.718
I 0.638 0.376 0.718
I 0.986 0.638 0.718
Sb 0.333 0.333 0.500
Mn 0.667 0.667 0.500

Values from the calculation:
Raw total energy = -29.21 eV for the cell shown
Raw formation energy = -5.52 eV/f.u.
Volume = 405 Å³ per cell

An optimized crystal structure of Pm2BPt5, computed with PBE-GGA.

Cell: 5.786 5.786 6.176 Å, 117.94 117.89 90.00°
Sites, in units of the cell vectors:
Pt 0.763 0.763 0.031
Pt 0.724 0.724 0.448
Pt 0.268 0.268 0.031
Pt 0.268 0.763 0.031
Pt 0.763 0.268 0.031
Pm 0.768 0.268 0.535
Pm 0.267 0.768 0.535
B 0.955 0.955 0.909

Values from the calculation:
Raw total energy = -53.69 eV for the cell shown
Volume = 155 Å³ per cell
Calculated formation energy = -0.913 eV/atom

An optimized crystal structure of LuAl2Pd, computed with PBE-GGA.

Cell: 3.155 3.155 7.242 Å, 90.00 90.00 90.00°
Sites, in units of the cell vectors:
Al 0.000 0.000 0.202
Al 0.000 0.000 0.798
Lu 0.500 0.500 0.500
Pd 0.500 0.500 0.000

Values from the calculation:
Raw total energy = -19.68 eV for the cell shown
Volume = 72 Å³ per cell
Calculated formation energy = -0.621 eV/atom

An optimized crystal structure of K3Rb12Au5, computed with PBE-GGA.

Cell: 19.609 19.609 19.609 Å, 109.47 109.47 109.47°
Sites, in units of the cell vectors:
Au 0.750 0.125 0.875
Au 0.250 0.375 0.625
Au 0.375 0.250 0.125
Au 0.500 0.500 0.500
Au 0.125 0.375 0.250
Au 0.500 0.000 0.500
Au 0.875 0.625 0.750
Au 0.875 0.250 0.625
Au 0.500 0.000 0.000
Au 0.375 0.125 0.750
Au 0.000 0.500 0.500
Au 0.000 0.000 0.000
Au 0.125 0.750 0.375
Au 0.750 0.625 0.375
Au 0.625 0.750 0.875
Au 0.625 0.875 0.250
Au 0.500 0.500 0.000
Au 0.250 0.875 0.125
Au 0.000 0.500 0.000
Au 0.000 0.000 0.500
Rb 0.181 0.093 0.692
Rb 0.489 0.808 0.901
Rb 0.401 0.412 0.093
Rb 0.819 0.912 0.011
Rb 0.181 0.088 0.989
Rb 0.093 0.912 0.401
Rb 0.308 0.901 0.989
Rb 0.599 0.011 0.192
Rb 0.319 0.511 0.412
Rb 0.989 0.588 0.181
Rb 0.907 0.819 0.808
Rb 0.511 0.319 0.912
Rb 0.011 0.412 0.819
Rb 0.819 0.907 0.308
Rb 0.989 0.401 0.308
Rb 0.588 0.989 0.681
Rb 0.412 0.401 0.593
Rb 0.401 0.989 0.808
Rb 0.901 0.593 0.912
Rb 0.192 0.511 0.599
Rb 0.192 0.681 0.093
Rb 0.407 0.308 0.319
Rb 0.489 0.681 0.088
Rb 0.093 0.181 0.192
Rb 0.901 0.308 0.489
Rb 0.692 0.099 0.011
Rb 0.308 0.407 0.819
Rb 0.593 0.692 0.681
Rb 0.912 0.819 0.511
Rb 0.912 0.093 0.901
Rb 0.319 0.808 0.407
Rb 0.681 0.489 0.588
Rb 0.099 0.692 0.511
Rb 0.907 0.088 0.599
Rb 0.681 0.192 0.593
Rb 0.511 0.192 0.099
Rb 0.588 0.599 0.407
Rb 0.407 0.099 0.588
Rb 0.808 0.319 0.907
Rb 0.593 0.901 0.412
Rb 0.808 0.489 0.401
Rb 0.099 0.407 0.088
Rb 0.011 0.599 0.692
Rb 0.599 0.588 0.907
Rb 0.088 0.181 0.489
Rb 0.088 0.907 0.099
Rb 0.412 0.011 0.319
Rb 0.692 0.593 0.181
K 0.375 0.750 0.625
K 0.875 0.125 0.250
K 0.375 0.625 0.250
K 0.750 0.875 0.625
K 0.625 0.375 0.750
K 0.750 0.375 0.125
K 0.250 0.125 0.375
K 0.625 0.250 0.375
K 0.125 0.875 0.750
K 0.250 0.625 0.875
K 0.125 0.250 0.875
K 0.875 0.750 0.125

Values from the calculation:
Raw total energy = -128.76 eV for the cell shown
Volume = 5804 Å³ per cell
Calculated formation energy = -0.045 eV/atom

An optimized crystal structure of KTl2Si2, computed with PBE-GGA.

Cell: 5.126 5.126 6.304 Å, 66.01 66.01 90.00°
Sites, in units of the cell vectors:
Si 0.386 0.386 0.229
Si 0.614 0.614 0.771
Tl 0.750 0.250 0.500
Tl 0.250 0.750 0.500
K 0.000 0.000 0.000

Values from the calculation:
Energy above the lowest structure with this stoichiometry = 0 kJ/mol of formula units
Raw total energy = -15.89 eV for the cell shown
Raw formation energy = 0.79 eV/f.u.
Volume = 136 Å³ per cell

An optimized crystal structure of HoScIrPb, computed with PBE-GGA.

Cell: 3.403 3.403 7.777 Å, 90.00 90.00 90.00°
Sites, in units of the cell vectors:
Ho 0.500 0.500 0.775
Pb 0.000 0.000 0.089
Ir 0.000 0.000 0.552
Sc 0.500 0.500 0.368

Values from the calculation:
Raw total energy = -26.20 eV for the cell shown
Volume = 90 Å³ per cell
Calculated formation energy = -0.680 eV/atom

An optimized crystal structure of Re3RhW, computed with PBE-GGA.

Cell: 4.587 4.587 4.587 Å, 90.00 90.00 90.00°
Sites, in units of the cell vectors:
Rh 0.000 0.000 0.000
W 0.500 0.500 0.500
Re 0.000 0.500 0.000
Re 0.500 0.000 0.000
Re 0.000 0.000 0.500

Values from the calculation:
Energy above the lowest structure with this stoichiometry = 62 kJ/mol of formula units
Raw total energy = -45.20 eV for the cell shown
Volume = 97 Å³ per cell
Calculated formation energy = 2.490 eV/atom

An optimized crystal structure of CeZn6Ag12, computed with PBE-GGA.

Cell: 7.437 7.437 7.437 Å, 104.38 104.38 104.38°
Sites, in units of the cell vectors:
Ag 0.608 0.862 0.608
Ag 0.138 0.392 0.392
Ag 0.500 0.884 0.116
Ag 0.392 0.138 0.392
Ag 0.116 0.884 0.500
Ag 0.608 0.608 0.862
Ag 0.116 0.500 0.884
Ag 0.392 0.392 0.138
Ag 0.862 0.608 0.608
Ag 0.500 0.116 0.884
Ag 0.884 0.116 0.500
Ag 0.884 0.500 0.116
Zn 0.275 0.275 0.702
Zn 0.298 0.725 0.725
Zn 0.725 0.298 0.725
Zn 0.702 0.275 0.275
Zn 0.725 0.725 0.298
Zn 0.275 0.702 0.275
Ce 0.000 0.000 0.000

Values from the calculation:
Raw total energy = -46.67 eV for the cell shown
Volume = 364 Å³ per cell
Calculated formation energy = 0.059 eV/atom

An optimized crystal structure of CuBi2H, computed with PBE-GGA.

Cell: 4.783 4.783 4.783 Å, 60.00 60.00 60.00°
Sites, in units of the cell vectors:
Bi 0.250 0.250 0.250
Bi 0.750 0.750 0.750
Cu 0.500 0.500 0.500
H 0.000 0.000 0.000

Values from the calculation:
Raw total energy = -13.40 eV for the cell shown
Volume = 77 Å³ per cell

An optimized crystal structure of ZnPtOF2, computed with PBE-GGA.

Cell: 3.791 3.791 4.491 Å, 90.00 90.00 90.00°
Sites, in units of the cell vectors:
Zn 0.000 0.000 0.000
F 0.500 0.000 0.000
F 0.000 0.500 0.000
O 0.000 0.000 0.500
Pt 0.500 0.500 0.500

Values from the calculation:
Energy above the lowest structure with this stoichiometry = 0 kJ/mol of formula units
Raw total energy = -18.64 eV for the cell shown
Raw formation energy = -2.62 eV/f.u.
Volume = 65 Å³ per cell